No. 1
Density functional theory data (PBE) for Rb2CaY after structural relaxation.

abc: 10.923 10.923 7.538
angles: 90.00 90.00 90.00
Space group I-42d (No. 122)
One atom of each set of equivalent atoms:
Rb  0.248  0.250  0.125 x8
Ca  0.000  0.000  0.000 x4
Y  0.000  0.000  0.500 x4

Calculated values
M_tot ... 0.27 μB per atom
Total energy ... -29.42 eV per cell
Energy above the lowest structure with this stoichiometry ... 34.7 kJ/mol of formula units
N(E_F) ... 1.546 states/eV per atom
ΔH_f (0 K) ... 0.761 eV per atom

=====

No. 2
Density functional theory data (PBE) for Rb3CaZn after structural relaxation.

abc: 6.905 6.905 6.905
angles: 90.00 90.00 90.00
Space group Pm-3m (No. 221)
One atom of each set of equivalent atoms:
Rb  0.000  0.000  0.500 x3
Ca  0.500  0.500  0.500 x1
Zn  0.000  0.000  0.000 x1

Calculated values
M_tot ... 0.00 μB per atom
Total energy ... -4.75 eV per cell
Energy above the lowest structure with this stoichiometry ... 0.0 kJ/mol of formula units
N(E_F) ... 0.725 states/eV per atom
ΔH_f (0 K) ... 0.286 eV per atom

=====

No. 3
Density functional theory data (PBE) for RbCa2Zn after structural relaxation.

abc: 8.781 8.781 13.429
angles: 90.00 90.00 90.00
Space group I-42d (No. 122)
One atom of each set of equivalent atoms:
Rb  0.000  0.000  0.000 x4
Ca  0.001  0.250  0.625 x8
Zn  0.000  0.000  0.500 x4

Calculated values
M_tot ... 0.25 μB per atom
Total energy ... -19.24 eV per cell
N(E_F) ... 0.731 states/eV per atom
ΔH_f (0 K) ... 0.358 eV per atom